Computed, not measured: a crystal of NaIn3Rh relaxed with PBEsol at the SCAN level of DFT.

abc: 5.087 5.087 5.087
angles: 90.00 90.00 90.00
Space group Pm-3m (No. 221)
One atom of each set of equivalent atoms:
Na1 0.000 0.000 0.000 (multiplicity 1)
In1 0.000 0.500 0.500 (multiplicity 3)
Rh1 0.500 0.500 0.500 (multiplicity 1)

Computed, not measured: a crystal of NaInRh2W relaxed with PBEsol at the SCAN level of DFT.

abc: 4.417 4.417 4.605
angles: 90.00 90.00 90.00
Space group P4/mmm (No. 123)
One atom of each set of equivalent atoms:
Na1 0.000 0.000 0.000 (multiplicity 1)
In1 0.500 0.500 0.500 (multiplicity 1)
Rh1 0.000 0.500 0.000 (multiplicity 2)
W1 0.000 0.000 0.500 (multiplicity 1)

Computed, not measured: a crystal of NaIn3Ru relaxed with PBEsol at the SCAN level of DFT.

abc: 5.109 5.109 5.109
angles: 90.00 90.00 90.00
Space group Pm-3m (No. 221)
One atom of each set of equivalent atoms:
Na1 0.000 0.000 0.000 (multiplicity 1)
In1 0.000 0.500 0.500 (multiplicity 3)
Ru1 0.500 0.500 0.500 (multiplicity 1)

Computed, not measured: a crystal of NaScInRu2 relaxed with PBEsol at the SCAN level of DFT.

abc: 4.615 4.615 5.375
angles: 90.00 90.00 90.00
Space group P4/mmm (No. 123)
One atom of each set of equivalent atoms:
Na1 0.000 0.000 0.000 (multiplicity 1)
Sc1 0.500 0.500 0.500 (multiplicity 1)
In1 0.500 0.500 0.000 (multiplicity 1)
Ru1 0.000 0.500 0.500 (multiplicity 2)

Computed, not measured: a crystal of Na2InS relaxed with PBEsol at the SCAN level of DFT.

abc: 7.178 7.178 7.178
angles: 90.00 90.00 90.00
Space group Fm-3m (No. 225)
One atom of each set of equivalent atoms:
Na1 0.250 0.250 0.250 (multiplicity 8)
In1 0.000 0.000 0.000 (multiplicity 4)
S1 0.000 0.000 0.500 (multiplicity 4)

Properties
- raw formation energy (eV per atom) = -0.41

Computed, not measured: a crystal of NaIn3S5 relaxed with PBEsol at the SCAN level of DFT.

abc: 12.427 16.062 3.792
angles: 90.00 90.00 90.00
Space group Pbam (No. 55)
One atom of each set of equivalent atoms:
Na1 0.248 0.128 0.000 (multiplicity 4)
In1 0.000 0.000 0.000 (multiplicity 2)
In2 0.000 0.500 0.500 (multiplicity 2)
In3 0.037 0.301 0.000 (multiplicity 4)
In4 0.211 0.878 0.500 (multiplicity 4)
S1 0.077 0.842 0.000 (multiplicity 4)
S2 0.086 0.641 0.500 (multiplicity 4)
S3 0.138 0.444 0.000 (multiplicity 4)
S4 0.139 0.026 0.500 (multiplicity 4)
S5 0.168 0.252 0.500 (multiplicity 4)

Properties
- raw formation energy (eV per atom) = -0.85

Computed, not measured: a crystal of Na3InS3 relaxed with PBEsol at the SCAN level of DFT.

abc: 15.832 13.431 7.345
angles: 90.00 117.63 90.00
Space group C2/c (No. 15)
One atom of each set of equivalent atoms:
Na1 0.000 0.063 0.250 (multiplicity 4)
Na2 0.000 0.223 0.750 (multiplicity 4)
Na3 0.093 0.418 0.048 (multiplicity 8)
Na4 0.203 0.067 0.089 (multiplicity 8)
In1 0.172 0.244 0.597 (multiplicity 8)
S1 0.106 0.389 0.684 (multiplicity 8)
S2 0.116 0.089 0.672 (multiplicity 8)
S3 0.148 0.236 0.235 (multiplicity 8)

Properties
- raw formation energy (eV per atom) = -1.16

Computed, not measured: a crystal of Na2InTeS relaxed with PBEsol at the SCAN level of DFT.

abc: 6.132 6.132 4.705
angles: 90.00 90.00 90.00
Space group P4/mmm (No. 123)
One atom of each set of equivalent atoms:
Na1 0.000 0.500 0.000 (multiplicity 2)
In1 0.000 0.000 0.000 (multiplicity 1)
Te1 0.500 0.500 0.500 (multiplicity 1)
S1 0.000 0.000 0.500 (multiplicity 1)

Properties
- raw formation energy (eV per atom) = -0.04

Uncorrected energy, record by record: -139.5 -164.9 -139.9 -116.4 -212.3 -640.6 -664.2 -88.9 eV for the cell shown